Entry 1:
TlIn2Hg | PBE-GGA | relaxed

Cell: 3.5135 4.6674 6.7139 Å, 90.00 90.00 90.00°
With the nearest neighbours (Å) after each atom.
Space group Pmm2 (No. 25)
Symmetry-distinct sites (fractional):
Tl (0.0000, 0.0000, 0.0000) x1  6 In 3.32-3.40, 4 Hg 3.38, 2 Tl 3.51
In (0.0000, 0.0000, 0.4945) x1  2 Tl 3.32-3.39, 4 Hg 3.34, 6 In 3.35-3.51
In (0.5000, 0.5000, 0.7396) x1  2 Hg 3.27-3.44, 6 In 3.35-3.51, 4 Tl 3.40
Hg (0.5000, 0.5000, 0.2525) x1  6 In 3.27-3.44, 4 Tl 3.38, 2 Hg 3.51

Computed properties:
- calculated density (g cm⁻³) = 9.571
- calculated formation energy (eV/atom) = 0.01
- total moment (Bohr magnetons per cell) = 0.00


Entry 2:
BeAs2W | PBE-GGA | relaxed

Cell: 3.3463 4.5897 7.4981 Å, 90.00 90.00 90.00°
With the nearest neighbours (Å) after each atom.
Space group Immm (No. 71)
Symmetry-distinct sites (fractional):
Be (0.0000, 0.0000, 0.0000) x2  4 As 2.31
As (0.0000, 0.5000, 0.2880) x4  2 Be 2.31
W (0.0000, 0.0000, 0.5000) x2  8 As 2.73-2.79, 4 Be 2.84

Computed properties:
- calculated density (g cm⁻³) = 9.883
- calculated formation energy (eV/atom) = 0.27
- total moment (Bohr magnetons per cell) = 0.00


Entry 3:
PbSN2F | PBE-GGA | relaxed

Cell: 4.5382 4.5382 4.3447 Å, 90.00 90.00 90.00°
With the nearest neighbours (Å) after each atom.
Space group P4/mmm (No. 123)
Symmetry-distinct sites (fractional):
Pb (0.0000, 0.0000, 0.0000) x1  2 F 2.17, 4 N 2.27
S (0.5000, 0.5000, 0.5000) x1  8 N 3.14, 4 F 3.21
N (0.0000, 0.5000, 0.0000) x2  2 Pb 2.27
F (0.0000, 0.0000, 0.5000) x1  2 Pb 2.17

Computed properties:
- calculated density (g cm⁻³) = 5.312
- polymorph energy (0 for the lowest one) (meV per atom) = 0
- raw formation energy (meV/atom) = 1412
- total moment (Bohr magnetons per cell) = 2.05


Entry 4:
Co2MoRu | PBE-GGA | relaxed

Cell: 2.6533 4.1738 4.5365 Å, 90.00 90.00 90.00°
With the nearest neighbours (Å) after each atom.
Space group Pmm2 (No. 25)
Symmetry-distinct sites (fractional):
Co (0.0000, 0.0000, 0.0000) x1  4 Ru 2.52-2.73, 4 Co 2.54-2.65, 4 Mo 2.60
Co (0.0000, 0.5000, 0.3203) x1  4 Co 2.54-2.65, 4 Ru 2.57, 4 Mo 2.60-2.65
Mo (0.5000, 0.5000, 0.8264) x1  8 Co 2.60-2.65, 2 Ru 2.63, 2 Mo 2.65
Ru (0.5000, 0.0000, 0.4732) x1  8 Co 2.52-2.73, 2 Mo 2.63, 2 Ru 2.65

Computed properties:
- calculated density (g cm⁻³) = 10.407
- polymorph energy (0 for the lowest one) (meV per atom) = 3
- calculated formation energy (eV/atom) = 0.01
- total moment (Bohr magnetons per cell) = 0.41


Entry 5:
LiYIr2 | PBE-GGA | relaxed

Cell: 2.9364 4.3948 5.3511 Å, 90.00 104.08 90.00°
With the nearest neighbours (Å) after each atom.
Space group Pm (No. 6)
Symmetry-distinct sites (fractional):
Li (0.0000, 0.0000, 0.0000) x1  4 Ir 2.54-2.74
Y (0.6281, 0.5000, 0.2531) x1  4 Ir 2.69-3.01, 4 Li 2.93-2.97, 2 Y 2.94
Ir (0.0091, 0.5000, 0.7639) x1  2 Li 2.54, 2 Y 2.69-2.80, 2 Ir 2.73
Ir (0.3623, 0.0000, 0.5741) x1  2 Li 2.57-2.74, 2 Ir 2.73

Computed properties:
- calculated density (g cm⁻³) = 11.907
- calculated formation energy (eV/atom) = -0.16
- total moment (Bohr magnetons per cell) = 0.00


Entry 6:
TmSc2Sn2 | PBE-GGA | relaxed

Cell: 4.9595 4.9595 16.9367 Å, 90.00 90.00 120.00°
With the nearest neighbours (Å) after each atom.
Space group R-3m (No. 166, hexagonal axes)
Symmetry-distinct sites (fractional):
Tm (0.0000, 0.0000, 0.0000) x3  6 Sn 3.13, 2 Sc 3.46
Sc (0.0000, 0.0000, 0.2042) x6  3 Sn 3.00, 3 Sc 3.13
Sn (0.0000, 0.0000, 0.4086) x6  3 Sc 3.00, 1 Sn 3.10, 3 Tm 3.13

Computed properties:
- calculated density (g cm⁻³) = 6.852
- calculated formation energy (eV/atom) = -0.54
- total moment (Bohr magnetons per cell) = 0.00


Entry 7:
LiSc2GeC | PBE-GGA | relaxed

Cell: 4.4598 4.4598 4.0811 Å, 90.00 90.00 90.00°
With the nearest neighbours (Å) after each atom.
Space group P4/mmm (No. 123)
Symmetry-distinct sites (fractional):
Li (0.0000, 0.0000, 0.0000) x1  2 C 2.04
Sc (0.0000, 0.5000, 0.5000) x2  2 C 2.23
Ge (0.5000, 0.5000, 0.0000) x1  8 Sc 3.02, 4 Li 3.15
C (0.0000, 0.0000, 0.5000) x1  2 Li 2.04, 4 Sc 2.23

Computed properties:
- calculated density (g cm⁻³) = 3.713
- calculated formation energy (eV/atom) = -0.45
- total moment (Bohr magnetons per cell) = 0.00


Entry 8:
SrCaW | PBE-GGA | relaxed

Cell: 4.4483 4.4596 16.7223 Å, 90.00 90.00 90.00°
With the nearest neighbours (Å) after each atom.
Space group Fmm2 (No. 42)
Symmetry-distinct sites (fractional):
Sr (0.0000, 0.0000, 0.0000) x4  4 Sr 3.15, 4 W 3.32-3.33
Ca (0.0000, 0.0000, 0.7168) x4  4 Ca 3.15, 4 W 3.18
W (0.0000, 0.0000, 0.3524) x4  4 W 3.15, 4 Ca 3.18, 4 Sr 3.32-3.33

Computed properties:
- calculated density (g cm⁻³) = 6.238
- polymorph energy (0 for the lowest one) (meV per atom) = 0
- calculated formation energy (eV/atom) = 1.02
- total moment (Bohr magnetons per cell) = 0.00


Entry 9:
La4Pm2DyMg | PBE-GGA | relaxed

Cell: 5.1602 5.1602 10.2005 Å, 90.00 90.00 90.00°
With the nearest neighbours (Å) after each atom.
Space group P4/mmm (No. 123)
Symmetry-distinct sites (fractional):
La (0.0000, 0.5000, 0.2465) x4  2 Mg 3.60, 4 Pm 3.60-3.65, 4 La 3.65, 2 Dy 3.65
Pm (0.0000, 0.0000, 0.0000) x1  8 La 3.60, 4 Mg 3.65
Pm (0.5000, 0.5000, 0.5000) x1  4 Dy 3.65, 8 La 3.65
Dy (0.0000, 0.0000, 0.5000) x1  4 Pm 3.65, 8 La 3.65
Mg (0.5000, 0.5000, 0.0000) x1  8 La 3.60, 4 Pm 3.65

Computed properties:
- calculated density (g cm⁻³) = 6.312
- calculated formation energy (eV/atom) = 0.00
- total moment (Bohr magnetons per cell) = 0.00


Entry 10:
KCoPd2 | PBE-GGA | relaxed

Cell: 5.1952 5.1952 16.1356 Å, 90.00 90.00 90.00°
With the nearest neighbours (Å) after each atom.
Space group I-42d (No. 122)
Symmetry-distinct sites (fractional):
K (0.0000, 0.0000, 0.0000) x4  8 Pd 3.34-3.74, 4 Co 3.67
Co (0.0000, 0.0000, 0.5000) x4  4 Pd 2.41
Pd (0.0517, 0.7500, 0.6250) x8  2 Co 2.41, 2 Pd 2.65

Computed properties:
- calculated density (g cm⁻³) = 4.741
- polymorph energy (0 for the lowest one) (meV per atom) = 0
- calculated formation energy (eV/atom) = 0.57
- total moment (Bohr magnetons per cell) = 10.64


Entry 11:
Zr8Fe2Co | PBE-GGA | relaxed

Cell: 7.2837 12.1316 5.4537 Å, 90.00 112.35 90.00°
With the nearest neighbours (Å) after each atom.
Space group Cm (No. 8)
Symmetry-distinct sites (fractional):
Zr (0.0000, 0.0000, 0.0000) x2  1 Co 2.61, 2 Fe 2.85
Zr (0.0861, 0.3712, 0.7876) x4  2 Fe 2.42-2.63
Zr (0.1373, 0.1281, 0.5661) x4  2 Fe 2.45-2.65
Zr (0.2236, 0.5000, 0.3671) x2  1 Co 2.58, 2 Fe 2.86
Zr (0.3541, 0.2058, 0.1844) x4  1 Co 2.64
Fe (0.3634, 0.3067, 0.6846) x4  4 Zr 2.42-2.65
Co (0.3645, 0.0000, 0.3469) x2  8 Zr 2.58-2.84

Computed properties:
- calculated density (g cm⁻³) = 6.709
- calculated formation energy (eV/atom) = 0.03
- total moment (Bohr magnetons per cell) = 0.00


Entry 12:
HoHBrCl | PBE-GGA | relaxed

Cell: 6.8299 3.9421 7.7662 Å, 90.00 107.06 90.00°
With the nearest neighbours (Å) after each atom.
Space group Cm (No. 8)
Symmetry-distinct sites (fractional):
Ho (0.0000, 0.0000, 0.0000) x2  3 H 2.29, 1 Br 2.56
H (0.1569, 0.5000, 0.9708) x2  3 Ho 2.29
Br (0.3843, 0.5000, 0.6555) x2  1 Ho 2.56
Cl (0.4029, 0.0000, 0.2082) x2  3 Ho 2.75, 3 H 2.88

Computed properties:
- uncorrected energy (eV per atom) = -4.271
- calculated density (g cm⁻³) = 4.673
- total moment (Bohr magnetons per cell) = 0.00